(1)
Entry from the Alexandria database: a relaxed structure of NiRu2Br (PBE).

abc: 3.0556 3.0556 6.3876
angles: 90.00 90.00 90.00
Space group P4/mmm (No. 123)
Inequivalent atoms, fractional coordinates:
1 Ni 0.0000 0.0000 0.0000
2 Ru 0.5000 0.5000 0.2055
3 Br 0.0000 0.0000 0.5000


(2)
Entry from the Alexandria database: a relaxed structure of NiRu2Br (PBE).

abc: 2.8697 2.8697 25.0743
angles: 90.00 90.00 120.00
Space group R3m (No. 160, hexagonal axes)
Inequivalent atoms, fractional coordinates:
1 Ni 0.0000 0.0000 0.0000
2 Ru 0.0000 0.0000 0.2519
3 Ru 0.0000 0.0000 0.5057
4 Br 0.0000 0.0000 0.7461


(3)
Entry from the Alexandria database: a relaxed structure of NiRu2SBr (PBE).

abc: 4.2475 4.2475 6.1139
angles: 90.00 90.00 90.00
Space group P4/mmm (No. 123)
Inequivalent atoms, fractional coordinates:
1 Ni 0.0000 0.0000 0.0000
2 Ru 0.0000 0.5000 0.5000
3 S 0.5000 0.5000 0.5000
4 Br 0.5000 0.5000 0.0000


(4)
Entry from the Alexandria database: a relaxed structure of NiRuSeBr2 (PBE).

abc: 5.2413 5.2413 4.6040
angles: 90.00 90.00 90.00
Space group P4/mmm (No. 123)
Inequivalent atoms, fractional coordinates:
1 Ni 0.0000 0.0000 0.0000
2 Ru 0.5000 0.5000 0.5000
3 Se 0.5000 0.5000 0.0000
4 Br 0.0000 0.5000 0.5000


(5)
Entry from the Alexandria database: a relaxed structure of NiRuSe2Br (PBE).

abc: 4.7390 4.7390 5.3714
angles: 90.00 90.00 90.00
Space group P4/mmm (No. 123)
Inequivalent atoms, fractional coordinates:
1 Ni 0.0000 0.0000 0.0000
2 Ru 0.5000 0.5000 0.5000
3 Se 0.0000 0.5000 0.5000
4 Br 0.5000 0.5000 0.0000


(6)
Entry from the Alexandria database: a relaxed structure of NiRuSeBr2 (PBE).

abc: 4.8261 4.8261 4.8345
angles: 90.00 90.00 90.00
Space group P4/mmm (No. 123)
Inequivalent atoms, fractional coordinates:
1 Ni 0.0000 0.0000 0.0000
2 Ru 0.5000 0.5000 0.5000
3 Se 0.0000 0.0000 0.5000
4 Br 0.0000 0.5000 0.0000


(7)
Entry from the Alexandria database: a relaxed structure of NiRuSe2Br (PBE).

abc: 4.7040 4.7040 4.8216
angles: 90.00 90.00 90.00
Space group P4/mmm (No. 123)
Inequivalent atoms, fractional coordinates:
1 Ni 0.0000 0.0000 0.0000
2 Ru 0.5000 0.5000 0.5000
3 Se 0.0000 0.5000 0.0000
4 Br 0.0000 0.0000 0.5000


(8)
Entry from the Alexandria database: a relaxed structure of Sm6Ni2RuBr3 (PBE).

abc: 19.3280 4.0372 9.0129
angles: 90.00 112.44 90.00
Space group C2/m (No. 12)
Inequivalent atoms, fractional coordinates:
1 Sm 0.0122 0.0000 0.2196
2 Sm 0.1532 0.5000 0.1176
3 Sm 0.1773 0.5000 0.5536
4 Ni 0.1697 0.0000 0.3420
5 Ru 0.0000 0.5000 0.0000
6 Br 0.0000 0.5000 0.5000
7 Br 0.1663 0.0000 0.8324


(9)
Entry from the Alexandria database: a relaxed structure of Sm8Ni3RuBr4 (PBE).

abc: 8.0465 8.0465 23.1357
angles: 90.00 90.00 120.00
Space group R-3m (No. 166, hexagonal axes)
Inequivalent atoms, fractional coordinates:
1 Sm 0.0000 0.0000 0.2300
2 Sm 0.0000 0.5000 0.2315
3 Ni 0.0000 0.5000 0.5000
4 Ru 0.0000 0.0000 0.5000
5 Br 0.0000 0.0000 0.0000
6 Br 0.0000 0.5000 0.0000


(10)
Entry from the Alexandria database: a relaxed structure of Sm8NiRu3Br4 (PBE).

abc: 8.0346 8.0346 23.4832
angles: 90.00 90.00 120.00
Space group R-3m (No. 166, hexagonal axes)
Inequivalent atoms, fractional coordinates:
1 Sm 0.0000 0.0000 0.2333
2 Sm 0.0032 0.5016 0.7683
3 Ni 0.0000 0.0000 0.5000
4 Ru 0.0000 0.5000 0.5000
5 Br 0.0000 0.0000 0.0000
6 Br 0.0000 0.5000 0.0000


(11)
Entry from the Alexandria database: a relaxed structure of TlNiRuBr6 (PBE).

abc: 6.6363 6.6363 7.3675
angles: 90.00 90.00 120.00
Space group P312 (No. 149)
Inequivalent atoms, fractional coordinates:
1 Tl 0.0000 0.0000 0.0000
2 Ni 0.3333 0.6667 0.5000
3 Ru 0.6667 0.3333 0.5000
4 Br 0.3735 0.0039 0.6942


(12)
Entry from the Alexandria database: a relaxed structure of Ni2RuWBr (PBE).

abc: 4.5791 4.5791 4.7580
angles: 90.00 90.00 90.00
Space group P4/mmm (No. 123)
Inequivalent atoms, fractional coordinates:
1 Ni 0.0000 0.5000 0.0000
2 Ru 0.0000 0.0000 0.5000
3 W 0.5000 0.5000 0.0000
4 Br 0.5000 0.5000 0.5000


(13)
Entry from the Alexandria database: a relaxed structure of NiS2Br (PBE).

abc: 3.5367 3.5367 21.5707
angles: 90.00 90.00 120.00
Space group R-3m (No. 166, hexagonal axes)
Inequivalent atoms, fractional coordinates:
1 Ni 0.0000 0.0000 0.0000
2 S 0.0000 0.0000 0.3845
3 Br 0.0000 0.0000 0.5000


(14)
Entry from the Alexandria database: a relaxed structure of NiS4Br (PBE).

abc: 7.6555 11.6918 6.2093
angles: 90.00 105.87 90.00
Space group C2/c (No. 15)
Inequivalent atoms, fractional coordinates:
1 Ni 0.0000 0.0953 0.2500
2 S 0.1118 0.0768 0.8782
3 S 0.2314 0.2177 0.3504
4 Br 0.0000 0.4294 0.7500


(15)
Entry from the Alexandria database: a relaxed structure of NiSBr2 (PBE).

abc: 6.7988 6.7988 8.5731
angles: 90.00 90.00 90.00
Space group I-42d (No. 122)
Inequivalent atoms, fractional coordinates:
1 Ni 0.0000 0.0000 0.0000
2 S 0.0000 0.0000 0.5000
3 Br 0.1838 0.2500 0.1250


(16)
Entry from the Alexandria database: a relaxed structure of NiSBr3 (PBE).

abc: 4.8538 4.8538 4.8538
angles: 90.00 90.00 90.00
Space group Pm-3m (No. 221)
Inequivalent atoms, fractional coordinates:
1 Ni 0.0000 0.0000 0.0000
2 S 0.5000 0.5000 0.5000
3 Br 0.0000 0.0000 0.5000


(17)
Entry from the Alexandria database: a relaxed structure of NiSBr (PBE).

abc: 12.3495 3.3033 7.3398
angles: 90.00 92.52 90.00
Space group C2/m (No. 12)
Inequivalent atoms, fractional coordinates:
1 Ni 0.2320 0.0000 0.1749
2 S 0.1593 0.0000 0.8833
3 Br 0.1199 0.5000 0.3119


(18)
Entry from the Alexandria database: a relaxed structure of NiSBr (PBE).

abc: 3.3907 4.6713 8.7954
angles: 90.00 100.12 90.00
Space group P2_1/m (No. 11)
Inequivalent atoms, fractional coordinates:
1 Ni 0.1995 0.2500 0.3890
2 S 0.2224 0.7500 0.4398
3 Br 0.3917 0.7500 0.8109


(19)
Entry from the Alexandria database: a relaxed structure of NiSBr2 (PBE).

abc: 6.7822 6.7822 6.7822
angles: 90.00 90.00 90.00
Space group Fm-3m (No. 225)
Inequivalent atoms, fractional coordinates:
1 Ni 0.0000 0.0000 0.0000
2 S 0.0000 0.0000 0.5000
3 Br 0.2500 0.2500 0.2500


(20)
Entry from the Alexandria database: a relaxed structure of Ni3SBr (PBE).

abc: 4.2841 4.2841 4.2841
angles: 90.00 90.00 90.00
Space group Pm-3m (No. 221)
Inequivalent atoms, fractional coordinates:
1 Ni 0.0000 0.0000 0.5000
2 S 0.0000 0.0000 0.0000
3 Br 0.5000 0.5000 0.5000


| no. | ΔE_f (raw) (meV per atom) | E (eV per cell) |
| --- | --- | --- |
| 1 | 667 | -23.338 |
| 2 | 575 | -71.117 |
| 3 | 1095 | -24.659 |
| 4 | 714 | -18.316 |
| 5 | 774 | -19.830 |
| 6 | 797 | -17.902 |
| 7 | 837 | -19.515 |
| 8 | -826 | -128.177 |
| 9 | -829 | -253.000 |
| 10 | -804 | -272.757 |
| 11 | -388 | -30.950 |
| 12 | 1767 | -26.631 |
| 13 | -136 | -48.757 |
| 14 | 34 | -95.037 |
| 15 | 492 | -45.151 |
| 16 | 474 | -12.556 |
| 17 | -250 | -49.323 |
| 18 | -308 | -25.010 |
| 19 | 923 | -38.244 |
| 20 | 246 | -21.916 |